1.
Computed, not measured: a geometry-optimized NaIn7Hg4 structure at the PBE level of DFT.

Lattice parameters (Å, degrees): 13.5804 6.1029 9.5991 90.00 122.96 90.00
Space group C2/m (No. 12)
Unique sites:
Na 0.0000 0.0000 0.0000
In 0.0000 0.5000 0.0000
In 0.0013 0.0000 0.3387
In 0.2461 0.5000 0.9750
In 0.2476 0.5000 0.6341
Hg 0.0017 0.5000 0.3339
Hg 0.2478 0.0000 0.6915

- total magnetic moment (μB/f.u.) = 0.000
- E_form (meV/atom) = 27
- polymorph energy (0 for the lowest one) (meV/atom) = 61
- crystal system = monoclinic
- DFT total energy (eV/cell) = -42.732


2.
Computed, not measured: a geometry-optimized Na12In2Hg structure at the PBE level of DFT.

Lattice parameters (Å, degrees): 6.6816 6.6816 23.9604 90.00 90.00 90.00
Space group P4/nbm (No. 125, origin choice 2)
Unique sites:
Na 0.0000 0.0000 0.0863
Na 0.0702 0.5702 0.4326
Na 0.2500 0.2500 0.1907
Na 0.2500 0.2500 0.3176
In 0.2500 0.7500 0.2058
Hg 0.2500 0.7500 0.0000

- total magnetic moment (μB/f.u.) = 0.000
- E_form (meV/atom) = 61
- crystal system = tetragonal
- DFT total energy (eV/cell) = -41.391


3.
Computed, not measured: a geometry-optimized Na2In2Hg structure at the PBE level of DFT.

Lattice parameters (Å, degrees): 4.2465 4.2465 16.8078 90.00 90.00 90.00
Space group I4/mmm (No. 139)
Unique sites:
Na 0.0000 0.0000 0.0963
In 0.0000 0.5000 0.2500
Hg 0.0000 0.0000 0.5000

- total magnetic moment (μB/f.u.) = 0.000
- E_form (meV/atom) = -46
- polymorph energy (0 for the lowest one) (meV/atom) = 117
- crystal system = tetragonal
- DFT total energy (eV/cell) = -17.292